NaCoAu | OQMD via LeMat-Bulk | GGA-PBE | optimized geometry; final energy = -8.682 eV per formula unit; M_tot = 1.85 μB per formula unit
1.0
0.000 3.107 3.107
3.107 0.000 3.107
3.107 3.107 0.000
Na Co Au
1 1 1
Cartesian
0.000 0.000 0.000
1.553 1.553 1.553
4.660 4.660 4.660



NaCoAu | OQMD via LeMat-Bulk | GGA-PBE | optimized geometry; final energy = -9.973 eV per formula unit; M_tot = 1.98 μB per formula unit
1.0
0.000 3.075 3.075
3.075 0.000 3.075
3.075 3.075 0.000
Na Co Au
1 1 1
Cartesian
0.000 0.000 0.000
4.612 4.612 4.612
3.075 3.075 3.075



no.,calculated volume (Å³ per cell)
1,60.0
2,58.1